Record 1
DFT (GGA-PBE) results for a relaxed MgSiRh2 crystal.

The structure in extended XYZ format:
```
4
Lattice="-1.4714 2.0451 4.8232 1.4714 -2.0451 4.8232 1.4714 2.0451 -4.8232" Properties=species:S:1:pos:R:3 pbc="T T T"
Mg 0.0000 0.0000 0.0000
Si 0.0000 2.0451 2.3335
Rh 1.4714 0.0000 2.7353
Rh 0.0000 0.0000 5.3080
```

Output
- formation energy without anion corrections (meV/atom) = -580
- mass density (g cm⁻³) = 7.39


Record 2
DFT (GGA-PBE) results for a relaxed MgMo4Ru crystal.

The structure in extended XYZ format:
```
6
Lattice="0.0000 3.6847 3.6847 3.6847 0.0000 3.6847 3.6847 3.6847 0.0000" Properties=species:S:1:pos:R:3 pbc="T T T"
Mg 0.0000 0.0000 0.0000
Mo 4.6106 2.7587 2.7587
Mo 2.7587 4.6106 2.7587
Mo 2.7587 2.7587 4.6106
Mo 4.6106 4.6106 4.6106
Ru 1.8423 1.8423 1.8423
```

Output
- formation energy (eV per atom) = 0.326
- mass density (g cm⁻³) = 8.45


Record 3
DFT (GGA-PBE) results for a relaxed BeSiOs2Pd crystal.

The structure in extended XYZ format:
```
5
Lattice="4.4028 0.0000 0.0000 0.0000 4.4028 0.0000 0.0000 0.0000 4.3744" Properties=species:S:1:pos:R:3 pbc="T T T"
Be 0.0000 0.0000 0.0000
Si 2.2014 2.2014 2.1872
Os 0.0000 2.2014 2.1872
Os 2.2014 0.0000 2.1872
Pd 2.2014 2.2014 0.0000
```

Output
- formation energy without anion corrections (meV/atom) = 1122
- mass density (g cm⁻³) = 10.26